# 1
A plane-wave DFT calculation with GGA-PBEsol was carried out for crystalline Sr2YRe at its relaxed geometry.

Cell lengths 3.661, 3.661, 9.423 Å; angles 90.00, 90.00, 90.00 degrees
Sites, in units of the cell vectors:
Re 0.500 0.500 0.292
Sr 0.000 0.000 0.076
Sr 0.500 0.500 0.709
Y 0.000 0.000 0.423

---

# 2
A plane-wave DFT calculation with GGA-PBEsol was carried out for crystalline SrY2Re at its relaxed geometry.

Cell lengths 5.151, 5.151, 5.151 Å; angles 60.00, 60.00, 60.00 degrees
Sites, in units of the cell vectors:
Re 0.000 0.000 0.000
Sr 0.500 0.500 0.500
Y 0.250 0.250 0.250
Y 0.750 0.750 0.750

---

# 3
A plane-wave DFT calculation with GGA-PBEsol was carried out for crystalline Sr2YRe at its relaxed geometry.

Cell lengths 5.280, 5.295, 5.280 Å; angles 60.10, 90.00, 119.90 degrees
Sites, in units of the cell vectors:
Re 0.750 0.500 0.750
Sr 0.000 0.000 0.000
Sr 0.250 0.500 0.250
Y 0.500 0.000 0.500

---

# 4
A plane-wave DFT calculation with GGA-PBEsol was carried out for crystalline SrZn2Re at its relaxed geometry.

Cell lengths 2.801, 5.083, 5.810 Å; angles 115.94, 103.95, 90.00 degrees
Sites, in units of the cell vectors:
Re 0.469 0.469 0.939
Sr 0.250 0.750 0.500
Zn 0.029 0.029 0.059
Zn 0.751 0.251 0.503

---

# 5
A plane-wave DFT calculation with GGA-PBEsol was carried out for crystalline SrZnRe at its relaxed geometry.

Cell lengths 4.610, 4.610, 4.610 Å; angles 60.00, 60.00, 60.00 degrees
Site moments in Bohr magnetons follow the coordinates.
Sites, in units of the cell vectors:
Re 0.000 0.000 0.000  1.68
Sr 0.500 0.500 0.500  0.01
Zn 0.750 0.750 0.750  -0.02

---

# 6
A plane-wave DFT calculation with GGA-PBEsol was carried out for crystalline SrZn2Re at its relaxed geometry.

Cell lengths 4.722, 4.722, 4.722 Å; angles 60.00, 60.00, 60.00 degrees
Site moments in Bohr magnetons follow the coordinates.
Sites, in units of the cell vectors:
Re 0.500 0.500 0.500  0.79
Sr 0.250 0.250 0.250  0.02
Zn 0.000 0.000 0.000  -0.01
Zn 0.750 0.750 0.750  -0.01

---

# 7
A plane-wave DFT calculation with GGA-PBEsol was carried out for crystalline SrZn2Re at its relaxed geometry.

Cell lengths 2.845, 3.860, 6.611 Å; angles 90.00, 90.00, 90.00 degrees
Sites, in units of the cell vectors:
Re 0.500 0.500 0.000
Sr 0.500 0.500 0.500
Zn 0.000 0.000 0.813
Zn 0.000 0.000 0.187

---

# 8
A plane-wave DFT calculation with GGA-PBEsol was carried out for crystalline Sr2ZrRe at its relaxed geometry.

Cell lengths 3.497, 3.497, 9.591 Å; angles 90.00, 90.00, 90.00 degrees
Sites, in units of the cell vectors:
Re 0.500 0.500 0.699
Sr 0.000 0.000 0.923
Sr 0.500 0.500 0.300
Zr 0.000 0.000 0.578

---

# 9
A plane-wave DFT calculation with GGA-PBEsol was carried out for crystalline Sr2ZrRe at its relaxed geometry.

Cell lengths 5.225, 5.225, 5.225 Å; angles 60.00, 60.00, 60.00 degrees
Site moments in Bohr magnetons follow the coordinates.
Sites, in units of the cell vectors:
Re 0.000 0.000 0.000  0.64
Sr 0.250 0.250 0.250  -0.03
Sr 0.750 0.750 0.750  -0.03
Zr 0.500 0.500 0.500  -0.44

---

# 10
A plane-wave DFT calculation with GGA-PBEsol was carried out for crystalline SrZr2Re at its relaxed geometry.

Cell lengths 4.345, 4.350, 7.052 Å; angles 72.04, 72.06, 60.04 degrees
Sites, in units of the cell vectors:
Re 0.423 0.422 0.731
Sr 0.242 0.243 0.273
Zr 0.037 0.037 0.890
Zr 0.798 0.797 0.607

---

# 11
A plane-wave DFT calculation with GGA-PBEsol was carried out for crystalline SrZrRe2 at its relaxed geometry.

Cell lengths 3.549, 3.549, 7.083 Å; angles 90.00, 90.00, 90.00 degrees
Sites, in units of the cell vectors:
Re 0.000 0.000 0.670
Re 0.000 0.000 0.330
Sr 0.500 0.500 0.000
Zr 0.500 0.500 0.500

---

# 12
A plane-wave DFT calculation with GGA-PBEsol was carried out for crystalline SrZrRe2 at its relaxed geometry.

Cell lengths 2.765, 5.633, 5.633 Å; angles 117.64, 99.43, 99.43 degrees
Sites, in units of the cell vectors:
Re 0.000 0.500 0.000
Re 0.000 0.000 0.500
Sr 0.500 0.000 0.000
Zr 0.500 0.500 0.500

---

Number 1: DFT formation energy 2.028 eV per formula unit. Number 2: DFT formation energy 1.978 eV per formula unit. Number 3: DFT formation energy 3.125 eV per formula unit. Number 4: DFT formation energy 2.332 eV per formula unit. Number 5: DFT formation energy 3.900 eV per formula unit. Number 6: DFT formation energy 3.773 eV per formula unit. Number 7: DFT formation energy 1.307 eV per formula unit. Number 8: DFT formation energy 1.419 eV per formula unit. Number 9: DFT formation energy 5.385 eV per formula unit. Number 10: DFT formation energy 1.381 eV per formula unit. Number 11: DFT formation energy 2.455 eV per formula unit. Number 12: DFT formation energy 3.394 eV per formula unit.